1.
{
  "formula": "Cs2RbNaCl",
  "functional": "PBE-GGA",
  "state": "optimized geometry",
  "lattice_angstrom": [[6.991, 0.000, 0.000], [0.000, 6.991, 0.000], [0.000, 0.000, 6.654]],
  "species": ["Cs", "Cs", "Na", "Rb", "Cl"],
  "fractional_positions": [[0.000, 0.500, 0.000], [0.500, 0.000, 0.000], [0.500, 0.500, 0.500], [0.000, 0.000, 0.500], [0.000, 0.000, 0.000]],
  "dft_energy_ev_per_cell": -9.54
}

=====

2.
{
  "formula": "PmNdCuPb",
  "functional": "PBE-GGA",
  "state": "optimized geometry",
  "lattice_angstrom": [[5.352, 0.000, 0.000], [2.676, 4.635, 0.000], [2.676, 1.545, 4.370]],
  "species": ["Pb", "Nd", "Cu", "Pm"],
  "fractional_positions": [[0.750, 0.750, 0.750], [0.500, 0.500, 0.500], [0.250, 0.250, 0.250], [0.000, 0.000, 0.000]],
  "dft_energy_ev_per_cell": -18.55,
  "ef_kj_per_mol_fu": -119
}

=====

3.
{
  "formula": "CrAgHAu2",
  "functional": "PBE-GGA",
  "state": "optimized geometry",
  "lattice_angstrom": [[4.237, 0.000, 0.000], [0.000, 4.136, 0.000], [0.000, 0.000, 4.237]],
  "species": ["Cr", "Au", "Au", "Ag", "H"],
  "fractional_positions": [[0.500, 0.500, 0.500], [0.000, 0.000, 0.500], [0.500, 0.000, 0.000], [0.000, 0.500, 0.000], [0.000, 0.000, 0.000]],
  "dft_energy_ev_per_cell": -20.75
}

=====

4.
{
  "formula": "HoHfZnTc",
  "functional": "PBE-GGA",
  "state": "optimized geometry",
  "lattice_angstrom": [[-3.211, -1.827, -3.025], [0.414, -4.522, -1.477], [-3.100, -3.300, 1.516]],
  "species": ["Zn", "Hf", "Ho", "Tc"],
  "fractional_positions": [[0.750, 0.750, 0.750], [0.500, 0.500, 0.500], [0.000, 0.000, 0.000], [0.250, 0.250, 0.250]],
  "dft_energy_ev_per_cell": -27.00,
  "ef_kj_per_mol_fu": -80
}

=====

5.
{
  "formula": "Tb2PmSmH",
  "functional": "PBE-GGA",
  "state": "optimized geometry",
  "lattice_angstrom": [[-0.988, -4.873, -1.001], [3.260, -1.401, 3.603], [-3.738, 0.058, 3.406]],
  "species": ["Tb", "Tb", "Pm", "Sm", "H"],
  "fractional_positions": [[0.000, 0.000, 0.500], [0.000, 0.500, 0.000], [0.500, 0.000, 0.000], [0.500, 0.500, 0.500], [0.000, 0.000, 0.000]],
  "dft_energy_ev_per_cell": -22.94
}

=====

6.
{
  "formula": "LaCe2GaN",
  "functional": "PBE-GGA",
  "state": "optimized geometry",
  "lattice_angstrom": [[5.077, 0.000, 0.000], [0.000, 4.845, 0.000], [0.000, 0.000, 4.845]],
  "species": ["La", "Ce", "Ce", "Ga", "N"],
  "fractional_positions": [[0.500, 0.000, 0.000], [0.000, 0.000, 0.500], [0.000, 0.500, 0.000], [0.500, 0.500, 0.500], [0.000, 0.000, 0.000]],
  "dft_energy_ev_per_cell": -32.14
}